[1]
Material: Li2ZrZn
Method: DFT, PBE
State: relaxed

a = 3.1425 Å, b = 3.1425 Å, c = 7.3206 Å
α = 90.00°, β = 90.00°, γ = 90.00°
Space group P4mm (No. 99)
Symmetry-distinct sites (fractional):
Li 0.0000 0.0000 0.0000 x1
Li 0.5000 0.5000 0.2374 x1
Zr 0.5000 0.5000 0.6948 x1
Zn 0.0000 0.0000 0.4462 x1

Summary:
Its formation energy is -0.003 eV per atom.

---

[2]
Material: Li2ZrZn
Method: DFT, PBE
State: relaxed

a = 3.0588 Å, b = 4.8350 Å, c = 4.9750 Å
α = 90.00°, β = 90.00°, γ = 90.00°
Space group Pmmm (No. 47)
Symmetry-distinct sites (fractional):
Li 0.0000 0.0000 0.0000 x1
Li 0.5000 0.5000 0.0000 x1
Zr 0.0000 0.5000 0.5000 x1
Zn 0.5000 0.0000 0.5000 x1

Summary:
Its formation energy is 0.067 eV per atom.

---

[3]
Material: LiZr2Zn
Method: DFT, PBE
State: relaxed

a = 4.3431 Å, b = 3.0926 Å, c = 11.3904 Å
α = 90.00°, β = 90.00°, γ = 90.00°
Space group Amm2 (No. 38)
Symmetry-distinct sites (fractional):
Li 0.0000 0.0000 0.0000 x2
Zr 0.0000 0.0000 0.7334 x2
Zr 0.5000 0.0000 0.3859 x2
Zn 0.5000 0.0000 0.1225 x2

Summary:
Its formation energy is 0.009 eV per atom.

---

[4]
Material: Li2ZrZn
Method: DFT, PBE
State: relaxed

a = 7.3059 Å, b = 7.3059 Å, c = 5.5211 Å
α = 90.00°, β = 90.00°, γ = 90.00°
Space group I-42d (No. 122)
Symmetry-distinct sites (fractional):
Li 0.2085 0.2500 0.1250 x8
Zr 0.0000 0.0000 0.5000 x4
Zn 0.0000 0.0000 0.0000 x4

Summary:
Its formation energy is 0.342 eV per atom.

---

[5]
Material: LiZrZn2
Method: DFT, PBE
State: relaxed

a = 3.1410 Å, b = 3.1410 Å, c = 6.7844 Å
α = 90.00°, β = 90.00°, γ = 90.00°
Space group P4/mmm (No. 123)
Symmetry-distinct sites (fractional):
Li 0.0000 0.0000 0.0000 x1
Zr 0.0000 0.0000 0.5000 x1
Zn 0.5000 0.5000 0.2207 x2

Summary:
For the energy relative to the lowest polymorph listed for this composition, the calculation gives 0 meV/atom. Its formation energy is -0.200 eV per atom.

---

[6]
Material: Li2ZrZn
Method: DFT, PBE
State: relaxed

a = 2.8812 Å, b = 2.8812 Å, c = 8.5458 Å
α = 90.00°, β = 90.00°, γ = 90.00°
Space group P4/mmm (No. 123)
Symmetry-distinct sites (fractional):
Li 0.0000 0.0000 0.2111 x2
Zr 0.5000 0.5000 0.5000 x1
Zn 0.5000 0.5000 0.0000 x1

Summary:
Its formation energy is 0.077 eV per atom.

---

[7]
Material: Li2Zr2Zn15
Method: DFT, PBE
State: relaxed

a = 8.8381 Å, b = 8.8381 Å, c = 12.8796 Å
α = 90.00°, β = 90.00°, γ = 120.00°
Space group R-3m (No. 166, hexagonal axes)
Symmetry-distinct sites (fractional):
Li 0.0000 0.0000 0.1006 x6
Zr 0.0000 0.0000 0.3440 x6
Zn 0.0000 0.3012 0.0000 x18
Zn 0.0000 0.5000 0.5000 x9
Zn 0.0087 0.5044 0.1516 x18

Summary:
Its formation energy is -0.162 eV per atom.

---

[8]
Material: Li2ZrZn
Method: DFT, PBE
State: relaxed

a = 5.8849 Å, b = 9.4505 Å, c = 2.7162 Å
α = 90.00°, β = 90.00°, γ = 90.00°
Space group Cmmm (No. 65)
Symmetry-distinct sites (fractional):
Li 0.2500 0.2500 0.0000 x4
Zr 0.0000 0.0000 0.5000 x2
Zn 0.0000 0.5000 0.5000 x2

Summary:
Its formation energy is 0.217 eV per atom.

---

[9]
Material: LiZr2Zn
Method: DFT, PBE
State: relaxed

a = 4.1029 Å, b = 4.1029 Å, c = 8.9099 Å
α = 90.00°, β = 90.00°, γ = 90.00°
Space group I-4m2 (No. 119)
Symmetry-distinct sites (fractional):
Li 0.0000 0.0000 0.0000 x2
Zr 0.0000 0.0000 0.5000 x2
Zr 0.0000 0.5000 0.2500 x2
Zn 0.0000 0.5000 0.7500 x2

Summary:
Its formation energy is 0.072 eV per atom.

---

[10]
Material: Li2ZrZn2
Method: DFT, PBE
State: relaxed

a = 7.7066 Å, b = 7.7066 Å, c = 2.7940 Å
α = 90.00°, β = 90.00°, γ = 90.00°
Space group P4/mbm (No. 127)
Symmetry-distinct sites (fractional):
Li 0.1664 0.3336 0.0000 x4
Zr 0.0000 0.0000 0.5000 x2
Zn 0.1308 0.6308 0.5000 x4

Summary:
For the energy relative to the lowest polymorph listed for this composition, the calculation gives 109 meV/atom. Its formation energy is 0.000 eV per atom.

---

[11]
Material: Li2ZrZn
Method: DFT, PBE
State: relaxed

a = 2.8141 Å, b = 5.0295 Å, c = 10.5481 Å
α = 90.00°, β = 90.00°, γ = 90.00°
Space group Immm (No. 71)
Symmetry-distinct sites (fractional):
Li 0.0000 0.0000 0.2174 x4
Zr 0.0000 0.5000 0.0000 x2
Zn 0.0000 0.5000 0.5000 x2

Summary:
Its formation energy is 0.049 eV per atom.

---

[12]
Material: Li3ZrZn
Method: DFT, PBE
State: relaxed

a = 5.3237 Å, b = 5.3237 Å, c = 5.3237 Å
α = 90.00°, β = 90.00°, γ = 90.00°
Space group Pm-3m (No. 221)
Symmetry-distinct sites (fractional):
Li 0.0000 0.0000 0.5000 x3
Zr 0.0000 0.0000 0.0000 x1
Zn 0.5000 0.5000 0.5000 x1

Summary:
For the energy relative to the lowest polymorph listed for this composition, the calculation gives 776 meV/atom. Its formation energy is 1.252 eV per atom.